No. 1
{
  "formula": "Ca2PrHg2",
  "functional": "PBE-GGA",
  "state": "relaxed",
  "cell": [[-4.4840, -2.5075, -1.2883], [3.3452, -3.9036, -4.0454], [1.3600, -5.9675, 6.8816]],
  "species": ["Hg", "Hg", "Hg", "Hg", "Pr", "Pr", "Ca", "Ca", "Ca", "Ca"],
  "fractional_positions": [[0.2500, 0.3356, 0.9171], [0.2500, 0.6638, 0.5829], [0.7500, 0.6644, 0.0829], [0.7500, 0.3362, 0.4171], [0.2500, 0.5005, 0.2499], [0.7500, 0.4995, 0.7501], [0.2500, 0.8432, 0.9161], [0.7500, 0.1568, 0.0839], [0.7500, 0.8431, 0.4165], [0.2500, 0.1569, 0.5835]],
  "formation_energy_mev_per_atom": -382,
  "vol_a3_per_cell": 319.10,
  "spacegroup": "P2_1/m, No. 11"
}

---

No. 2
{
  "formula": "CaPrHg4",
  "functional": "PBE-GGA",
  "state": "relaxed",
  "cell": [[-3.4474, 4.9191, 0.7266], [-4.7604, 0.9197, -3.6198], [-5.6146, -0.5372, 2.1903]],
  "species": ["Hg", "Hg", "Hg", "Hg", "Ca", "Pr"],
  "fractional_positions": [[0.6253, 0.6253, 0.1242], [0.6253, 0.6253, 0.6253], [0.6253, 0.1242, 0.6253], [0.1242, 0.6253, 0.6253], [0.2500, 0.2500, 0.2500], [0.0000, 0.0000, 0.0000]],
  "formation_energy_mev_per_atom": -285,
  "vol_a3_per_cell": 156.63,
  "spacegroup": "F-43m, No. 216"
}

---

No. 3
{
  "formula": "Ca3Pr2Hg3",
  "functional": "PBE-GGA",
  "state": "relaxed",
  "cell": [[3.7395, 0.0000, -0.7849], [-0.2554, 5.3405, -1.2167], [0.5580, -0.0637, 11.9593]],
  "species": ["Pr", "Pr", "Ca", "Ca", "Ca", "Hg", "Hg", "Hg"],
  "fractional_positions": [[0.2697, 0.7697, 0.5394], [0.7303, 0.2303, 0.4606], [0.3835, 0.3835, 0.7670], [0.6165, 0.6165, 0.2330], [0.5000, 0.0000, 0.0000], [0.1177, 0.1177, 0.2354], [0.0000, 0.5000, 0.0000], [0.8823, 0.8823, 0.7646]],
  "formation_energy_mev_per_atom": -390,
  "vol_a3_per_cell": 240.87,
  "spacegroup": "Immm, No. 71"
}

---

No. 4
{
  "formula": "Ca3Pr2Hg4",
  "functional": "PBE-GGA",
  "state": "relaxed",
  "cell": [[7.1384, 0.0000, 0.0000], [0.0000, 8.0239, 0.0000], [-3.5692, 0.0000, 9.4914]],
  "species": ["Ca", "Ca", "Ca", "Ca", "Ca", "Ca", "Pr", "Pr", "Pr", "Pr", "Hg", "Hg", "Hg", "Hg", "Hg", "Hg", "Hg", "Hg"],
  "fractional_positions": [[0.9836, 0.2500, 0.4672], [0.0164, 0.7500, 0.5328], [0.4836, 0.2500, 0.4672], [0.0000, 0.0000, 0.0000], [0.5000, 0.5000, 0.0000], [0.5164, 0.7500, 0.5328], [0.0944, 0.5853, 0.1887], [0.4056, 0.0853, 0.8113], [0.5944, 0.9147, 0.1887], [0.9056, 0.4147, 0.8113], [0.1614, 0.9609, 0.3228], [0.1833, 0.7500, 0.8667], [0.8386, 0.0391, 0.6772], [0.6614, 0.5391, 0.3228], [0.8167, 0.2500, 0.1333], [0.6833, 0.7500, 0.8667], [0.3386, 0.4609, 0.6772], [0.3167, 0.2500, 0.1333]],
  "formation_energy_mev_per_atom": -354,
  "vol_a3_per_cell": 543.64,
  "spacegroup": "Cmce, No. 64"
}

---

No. 5
{
  "formula": "Ca2PrHg4",
  "functional": "PBE-GGA",
  "state": "relaxed",
  "cell": [[-3.9924, -0.6878, 3.3360], [0.7714, 0.5417, 5.1626], [-3.0761, 8.6163, 2.2229]],
  "species": ["Hg", "Hg", "Hg", "Hg", "Ca", "Ca", "Pr"],
  "fractional_positions": [[0.6245, 0.6245, 0.1266], [0.3755, 0.3755, 0.8734], [0.8760, 0.8760, 0.3721], [0.1240, 0.1240, 0.6279], [0.2427, 0.2427, 0.2719], [0.7573, 0.7573, 0.7281], [0.0000, 0.0000, 0.0000]],
  "formation_energy_mev_per_atom": -390,
  "vol_a3_per_cell": 212.62,
  "spacegroup": "R-3m, No. 166"
}

---

No. 6
{
  "formula": "Ca5PrHg4",
  "functional": "PBE-GGA",
  "state": "relaxed",
  "cell": [[3.7675, 0.0000, 0.0000], [0.0000, 3.7675, 0.0000], [0.0000, 0.0000, 20.7316]],
  "species": ["Ca", "Ca", "Ca", "Ca", "Ca", "Hg", "Hg", "Hg", "Hg", "Pr"],
  "fractional_positions": [[0.5000, 0.5000, 0.8655], [0.5000, 0.5000, 0.6838], [0.5000, 0.5000, 0.5000], [0.5000, 0.5000, 0.3162], [0.5000, 0.5000, 0.1345], [0.0000, 0.0000, 0.2222], [0.0000, 0.0000, 0.4086], [0.0000, 0.0000, 0.5914], [0.0000, 0.0000, 0.7778], [0.0000, 0.0000, 0.0000]],
  "formation_energy_mev_per_atom": -410,
  "vol_a3_per_cell": 294.27,
  "spacegroup": "P4/mmm, No. 123"
}

---

No. 7
{
  "formula": "CaPrHg6",
  "functional": "PBE-GGA",
  "state": "relaxed",
  "cell": [[4.7394, 0.0000, 0.0000], [0.0000, 4.7394, 0.0000], [0.0000, 0.0000, 9.2895]],
  "species": ["Hg", "Hg", "Hg", "Hg", "Hg", "Hg", "Ca", "Pr"],
  "fractional_positions": [[0.5000, 0.5000, 0.5000], [0.5000, 0.5000, 0.0000], [0.0000, 0.5000, 0.7493], [0.5000, 0.0000, 0.2507], [0.0000, 0.5000, 0.2507], [0.5000, 0.0000, 0.7493], [0.0000, 0.0000, 0.5000], [0.0000, 0.0000, 0.0000]],
  "formation_energy_mev_per_atom": -367,
  "vol_a3_per_cell": 208.66,
  "spacegroup": "P4/mmm, No. 123"
}

---

No. 8
{
  "formula": "CaPr5Hg6",
  "functional": "PBE-GGA",
  "state": "relaxed",
  "cell": [[5.1603, -0.0308, 1.7234], [0.0415, 7.7166, 0.0138], [0.0008, -0.0155, 8.6182]],
  "species": ["Pr", "Pr", "Pr", "Pr", "Pr", "Hg", "Hg", "Hg", "Hg", "Hg", "Hg", "Ca"],
  "fractional_positions": [[0.3360, 0.0000, 0.3276], [0.0000, 0.5000, 0.0000], [0.6687, 0.5000, 0.6630], [0.3313, 0.5000, 0.3370], [0.6640, 0.0000, 0.6724], [0.5000, 0.2489, 0.0000], [0.1656, 0.7536, 0.6693], [0.8344, 0.7536, 0.3307], [0.1656, 0.2464, 0.6693], [0.8344, 0.2464, 0.3307], [0.5000, 0.7511, 0.0000], [0.0000, 0.0000, 0.0000]],
  "formation_energy_mev_per_atom": -491,
  "vol_a3_per_cell": 343.18,
  "spacegroup": "P2/m, No. 10"
}

---

No. 9
{
  "formula": "CaPr3Hg6",
  "functional": "PBE-GGA",
  "state": "relaxed",
  "cell": [[5.2476, 0.0000, 0.0000], [0.0000, 9.0850, -2.8760], [0.0000, 0.0783, 11.5043]],
  "species": ["Hg", "Hg", "Hg", "Hg", "Hg", "Hg", "Hg", "Hg", "Hg", "Hg", "Hg", "Hg", "Ca", "Ca", "Pr", "Pr", "Pr", "Pr", "Pr", "Pr"],
  "fractional_positions": [[0.2500, 0.4636, 0.0819], [0.2500, 0.0629, 0.8840], [0.7500, 0.1558, 0.6973], [0.7500, 0.8583, 0.8107], [0.7500, 0.9371, 0.1160], [0.7500, 0.7540, 0.5000], [0.7500, 0.5364, 0.9181], [0.2500, 0.6678, 0.6944], [0.2500, 0.1417, 0.1893], [0.2500, 0.8442, 0.3027], [0.7500, 0.3322, 0.3056], [0.2500, 0.2460, 0.5000], [0.7500, 0.0569, 0.4002], [0.2500, 0.9431, 0.5998], [0.2500, 0.3544, 0.7898], [0.7500, 0.4876, 0.6188], [0.2500, 0.5124, 0.3812], [0.2500, 0.7767, 0.9856], [0.7500, 0.6456, 0.2102], [0.7500, 0.2233, 0.0144]],
  "formation_energy_mev_per_atom": -442,
  "vol_a3_per_cell": 549.65,
  "spacegroup": "P2_1/m, No. 11"
}

---

No. 10
{
  "formula": "CaPrHg6",
  "functional": "PBE-GGA",
  "state": "relaxed",
  "cell": [[-0.2943, 5.1504, 0.3704], [-0.2745, -0.4991, 6.7220], [5.9846, 0.5622, -3.0625]],
  "species": ["Hg", "Hg", "Hg", "Hg", "Hg", "Hg", "Ca", "Pr"],
  "fractional_positions": [[0.0000, 0.5901, 0.9253], [0.0000, 0.5848, 0.4152], [0.5000, 0.4255, 0.0902], [0.5000, 0.9147, 0.0853], [0.5000, 0.9098, 0.5745], [0.0000, 0.0747, 0.4099], [0.5000, 0.4139, 0.5861], [0.0000, 0.0862, 0.9138]],
  "formation_energy_mev_per_atom": -388,
  "vol_a3_per_cell": 204.58,
  "spacegroup": "Amm2, No. 38"
}

---

No. 11
{
  "formula": "CaPrHg",
  "functional": "PBE-GGA",
  "state": "relaxed",
  "cell": [[5.2680, 0.0000, 0.0000], [2.6340, 4.5622, 0.0000], [2.6340, 1.5207, 4.3013]],
  "species": ["Ca", "Pr", "Hg"],
  "fractional_positions": [[0.5000, 0.5000, 0.5000], [0.0000, 0.0000, 0.0000], [0.2500, 0.2500, 0.2500]],
  "formation_energy_mev_per_atom": -217,
  "vol_a3_per_cell": 103.38,
  "spacegroup": "F-43m, No. 216"
}

---

No. 12
{
  "formula": "CaPr2Hg",
  "functional": "PBE-GGA",
  "state": "relaxed",
  "cell": [[3.8058, 0.0000, 0.0000], [1.9029, 3.2960, 0.0000], [1.9029, 1.0987, 11.1606]],
  "species": ["Ca", "Pr", "Pr", "Hg"],
  "fractional_positions": [[0.5000, 0.5000, 0.5000], [0.7392, 0.7392, 0.7825], [0.2608, 0.2608, 0.2175], [0.0000, 0.0000, 0.0000]],
  "formation_energy_mev_per_atom": -111,
  "vol_a3_per_cell": 140.00,
  "spacegroup": "R-3m, No. 166"
}

---

No. 13
{
  "formula": "CaPr2Hg",
  "functional": "PBE-GGA",
  "state": "relaxed",
  "cell": [[3.9201, 0.0000, 0.0000], [0.0000, 3.9201, 0.0000], [0.0000, 0.0000, 8.7801]],
  "species": ["Hg", "Ca", "Pr", "Pr"],
  "fractional_positions": [[0.5000, 0.5000, 0.0000], [0.5000, 0.5000, 0.5000], [0.0000, 0.0000, 0.7922], [0.0000, 0.0000, 0.2078]],
  "formation_energy_mev_per_atom": -180,
  "vol_a3_per_cell": 134.92,
  "spacegroup": "P4/mmm, No. 123"
}

---

No. 14
{
  "formula": "CaPr2Hg",
  "functional": "PBE-GGA",
  "state": "relaxed",
  "cell": [[-4.3037, 2.4414, 0.5433], [-0.5322, -1.9582, 4.5842], [2.4621, 3.9054, 1.9541]],
  "species": ["Pr", "Pr", "Hg", "Ca"],
  "fractional_positions": [[0.0000, 0.5000, 0.0000], [0.0000, 0.0000, 0.5000], [0.5000, 0.5000, 0.5000], [0.5000, 0.0000, 0.0000]],
  "formation_energy_mev_per_atom": -146,
  "vol_a3_per_cell": 125.10,
  "spacegroup": "P4/mmm, No. 123"
}

---

No. 15
{
  "formula": "CaPrHg3",
  "functional": "PBE-GGA",
  "state": "relaxed",
  "cell": [[6.8659, 0.0000, 0.0000], [0.0000, 7.0992, -0.0013], [0.0000, -3.5488, 6.1485]],
  "species": ["Ca", "Ca", "Hg", "Hg", "Hg", "Hg", "Hg", "Hg", "Pr", "Pr"],
  "fractional_positions": [[0.5000, 0.0000, 0.0000], [0.0000, 0.0000, 0.0000], [0.7500, 0.1979, 0.8021], [0.2500, 0.3957, 0.1980], [0.2500, 0.8020, 0.6043], [0.7500, 0.1980, 0.3957], [0.2500, 0.8021, 0.1979], [0.7500, 0.6043, 0.8020], [0.2500, 0.3335, 0.6665], [0.7500, 0.6665, 0.3335]],
  "formation_energy_mev_per_atom": -239,
  "vol_a3_per_cell": 299.66,
  "spacegroup": "P6_3/mmc, No. 194"
}

---

No. 16
{
  "formula": "CaPrHgSb",
  "functional": "PBE-GGA",
  "state": "relaxed",
  "cell": [[5.4505, 0.0000, 0.0000], [2.7252, 4.7202, 0.0000], [2.7252, 1.5734, 4.4503]],
  "species": ["Pr", "Sb", "Ca", "Hg"],
  "fractional_positions": [[0.7500, 0.7500, 0.7500], [0.0000, 0.0000, 0.0000], [0.2500, 0.2500, 0.2500], [0.5000, 0.5000, 0.5000]],
  "vol_a3_per_cell": 114.49,
  "raw_formation_energy_ev_per_atom": -0.68,
  "spacegroup": "F-43m, No. 216"
}

---

No. 17
{
  "formula": "Ca2PrSn2Hg2",
  "functional": "PBE-GGA",
  "state": "relaxed",
  "cell": [[-4.1363, 2.6783, -0.9684], [-3.3476, 0.8559, 3.6443], [1.8785, 8.7421, 3.1326]],
  "species": ["Hg", "Hg", "Ca", "Ca", "Sn", "Sn", "Pr"],
  "fractional_positions": [[0.5651, 0.5651, 0.3047], [0.4349, 0.4349, 0.6953], [0.8654, 0.8654, 0.4037], [0.1346, 0.1346, 0.5963], [0.7334, 0.7334, 0.7997], [0.2666, 0.2666, 0.2003], [0.0000, 0.0000, 0.0000]],
  "formation_energy_mev_per_atom": -440,
  "vol_a3_per_cell": 197.01,
  "spacegroup": "R-3m, No. 166"
}

---

No. 18
{
  "formula": "SrCa2PrHg4",
  "functional": "PBE-GGA",
  "state": "relaxed",
  "cell": [[5.4572, 0.0000, 0.0000], [2.7286, 4.7261, 0.0000], [2.7286, 1.5754, 8.9288]],
  "species": ["Ca", "Ca", "Hg", "Hg", "Hg", "Hg", "Sr", "Pr"],
  "fractional_positions": [[0.7496, 0.7496, 0.7513], [0.2504, 0.2504, 0.2487], [0.6229, 0.6229, 0.1314], [0.8733, 0.8733, 0.3800], [0.3771, 0.3771, 0.8686], [0.1267, 0.1267, 0.6200], [0.0000, 0.0000, 0.0000], [0.5000, 0.5000, 0.5000]],
  "formation_energy_mev_per_atom": -534,
  "vol_a3_per_cell": 230.29,
  "spacegroup": "R-3m, No. 166"
}

---

No. 19
{
  "formula": "SrCaPr2Hg4",
  "functional": "PBE-GGA",
  "state": "relaxed",
  "cell": [[-4.4453, 2.2225, 2.2891], [-0.8459, -0.5003, 5.3828], [2.7637, 8.1696, 3.9748]],
  "species": ["Sr", "Hg", "Hg", "Hg", "Hg", "Ca", "Pr", "Pr"],
  "fractional_positions": [[0.0000, 0.0000, 0.0000], [0.1265, 0.1265, 0.6204], [0.3771, 0.3771, 0.8688], [0.8735, 0.8735, 0.3796], [0.6229, 0.6229, 0.1312], [0.5000, 0.5000, 0.5000], [0.7516, 0.7516, 0.7451], [0.2484, 0.2484, 0.2549]],
  "formation_energy_mev_per_atom": -514,
  "vol_a3_per_cell": 232.21,
  "spacegroup": "R-3m, No. 166"
}

---

No. 20
{
  "formula": "CaPr2TmHg4",
  "functional": "PBE-GGA",
  "state": "relaxed",
  "cell": [[5.3776, 0.0000, 0.0000], [2.6888, 4.6571, 0.0000], [2.6888, 1.5524, 8.7634]],
  "species": ["Pr", "Pr", "Hg", "Hg", "Hg", "Hg", "Ca", "Tm"],
  "fractional_positions": [[0.2511, 0.2511, 0.2466], [0.7489, 0.7489, 0.7534], [0.8730, 0.8730, 0.3810], [0.3773, 0.3773, 0.8681], [0.6227, 0.6227, 0.1319], [0.1270, 0.1270, 0.6190], [0.0000, 0.0000, 0.0000], [0.5000, 0.5000, 0.5000]],
  "formation_energy_mev_per_atom": -506,
  "vol_a3_per_cell": 219.47,
  "spacegroup": "R-3m, No. 166"
}